(1)
Computed, not measured: Hf3CoPd after structural relaxation at the PBE-GGA level of DFT.

The space group is Pmmn (No. 59, origin choice 2) and the conventional cell measures 4.318, 6.050 and 7.352 Å, with angles of 90.00, 90.00 and 90.00 degrees. The asymmetric unit holds Hf at (0.250, 0.001, 0.162), Hf at (0.250, 0.750, 0.552), Co at (0.250, 0.750, 0.890) and Pd at (0.250, 0.250, 0.671).

Its total energy is -8.693 eV/atom.



(2)
Computed, not measured: CrHg3 after structural relaxation at the PBE-GGA level of DFT.

The space group is Fm-3m (No. 225) and the conventional cell measures 7.011, 7.011 and 7.011 Å, with angles of 90.00, 90.00 and 90.00 degrees. The asymmetric unit holds Cr at (0.000, 0.000, 0.000), Hg at (0.000, 0.000, 0.500) and Hg at (0.250, 0.250, 0.250).

Its total energy is -2.254 eV/atom.



(3)
Computed, not measured: Sm3SiBi after structural relaxation at the PBE-GGA level of DFT.

The space group is Pmmn (No. 59, origin choice 2) and the conventional cell measures 4.468, 6.953 and 9.731 Å, with angles of 90.00, 90.00 and 90.00 degrees. The asymmetric unit holds Sm at (0.250, 0.013, 0.157), Sm at (0.250, 0.250, 0.586), Si at (0.250, 0.250, 0.896) and Bi at (0.250, 0.750, 0.646).

The energy relative to the elements, uncorrected comes out at -0.66 eV/atom. Its total energy is -5.356 eV/atom.